NdSmSe2 | GGA-PBE | optimized geometry

Structure (POSCAR):
```
NdSmSe2
1.0
2.049 1.183 7.303
-2.049 1.183 7.303
0.000 -2.366 7.303
Nd Sm Se
1 1 2
Direct
0.000 0.000 0.000 Nd
0.177 0.177 0.177 Sm
0.422 0.422 0.422 Se
0.588 0.588 0.588 Se
```

Calculated values
Its formation energy (no corrections) is -7.21 eV per formula unit. The offset from the most stable computed form comes out at 27 meV per atom. For the magnetization, the calculation gives 0.00 μB/cell. The value obtained for the total DFT energy (no corrections) is -5.9158 eV per atom.